[1]
## La2Zr (GGA-PBE)

Data for a relaxed La2Zr crystal.

Unit cell a=6.779 b=5.422 c=10.179 alpha=90.00 beta=90.00 gamma=90.00
Fractional coordinates of all 12 atoms:
La 0.058 0.250 0.218
La 0.169 0.250 0.557
La 0.331 0.750 0.057
La 0.442 0.750 0.718
La 0.558 0.250 0.282
La 0.669 0.250 0.943
La 0.831 0.750 0.443
La 0.942 0.750 0.782
Zr 0.192 0.250 0.874
Zr 0.308 0.750 0.374
Zr 0.692 0.250 0.626
Zr 0.808 0.750 0.126

Results
VASP energy, eV/atom: -5.936
ρ, Mg/m³: 6.6
Crystal system: orthorhombic
DFT formation energy, meV per atom: 198


[2]
## Sm4Co2Cu5 (GGA-PBE)

Data for a relaxed Sm4Co2Cu5 crystal.

Unit cell a=6.775 b=4.046 c=7.817 alpha=90.00 beta=91.44 gamma=90.00
Fractional coordinates of all 11 atoms:
Sm 0.222 0.000 0.357
Sm 0.245 0.000 0.887
Sm 0.755 0.000 0.113
Sm 0.778 0.000 0.643
Co 0.065 0.500 0.133
Co 0.935 0.500 0.867
Cu 0.142 0.500 0.617
Cu 0.431 0.500 0.149
Cu 0.500 0.500 0.500
Cu 0.569 0.500 0.851
Cu 0.858 0.500 0.383

Results
VASP energy, eV/atom: -5.009
ρ, Mg/m³: 8.0
Crystal system: monoclinic
DFT formation energy, meV per atom: -139


[3]
## TmSc2Au3 (GGA-PBE)

Data for a relaxed TmSc2Au3 crystal.

Unit cell a=3.438 b=3.438 c=10.452 alpha=90.00 beta=90.00 gamma=90.00
Fractional coordinates of all 6 atoms:
Tm 0.000 0.000 0.000
Sc 0.000 0.000 0.338
Sc 0.000 0.000 0.662
Au 0.500 0.500 0.180
Au 0.500 0.500 0.500
Au 0.500 0.500 0.820

Results
VASP energy, eV/atom: -5.328
ρ, Mg/m³: 11.4
Crystal system: tetragonal
DFT formation energy, meV per atom: -834


[4]
## Ta2RePt (GGA-PBE)

Data for a relaxed Ta2RePt crystal.

Unit cell a=4.267 b=4.267 c=3.650 alpha=90.00 beta=90.00 gamma=90.00
Fractional coordinates of all 4 atoms:
Ta 0.000 0.500 0.000
Ta 0.500 0.000 0.000
Re 0.000 0.000 0.500
Pt 0.500 0.500 0.500

Results
VASP energy, eV/atom: -10.911
ρ, Mg/m³: 18.6
Crystal system: tetragonal
DFT formation energy, meV per atom: -363


[5]
## Pm6PrAg2 (GGA-PBE)

Data for a relaxed Pm6PrAg2 crystal.

Unit cell a=6.680 b=6.680 c=12.133 alpha=107.78 beta=107.78 gamma=32.79
Fractional coordinates of all 9 atoms:
Pm 0.022 0.022 0.334
Pm 0.314 0.314 0.413
Pm 0.315 0.315 0.124
Pm 0.685 0.685 0.876
Pm 0.686 0.686 0.587
Pm 0.978 0.978 0.666
Pr 0.000 0.000 0.000
Ag 0.349 0.349 0.792
Ag 0.651 0.651 0.208

Results
VASP energy, eV/atom: -4.434
ρ, Mg/m³: 7.3
Crystal system: monoclinic
DFT formation energy, meV per atom: -102


[6]
## LiNpB4 (GGA-PBE)

Data for a relaxed LiNpB4 crystal.

Unit cell a=4.424 b=4.424 c=4.424 alpha=60.00 beta=60.00 gamma=60.00
Fractional coordinates of all 6 atoms:
Li 0.000 0.000 0.000
Np 0.750 0.750 0.750
B 0.351 0.351 0.351
B 0.351 0.351 0.947
B 0.351 0.947 0.351
B 0.947 0.351 0.351

Results
VASP energy, eV/atom: -6.383
ρ, Mg/m³: 7.8
Crystal system: cubic
DFT formation energy, meV per atom: 544


[7]
## KMgCd2Ni (GGA-PBE)

Data for a relaxed KMgCd2Ni crystal.

Unit cell a=5.143 b=5.143 c=4.964 alpha=90.00 beta=90.00 gamma=90.00
Fractional coordinates of all 5 atoms:
K 0.000 0.000 0.000
Mg 0.500 0.500 0.000
Cd 0.000 0.500 0.500
Cd 0.500 0.000 0.500
Ni 0.500 0.500 0.500

Results
VASP energy, eV/atom: -2.076
ρ, Mg/m³: 4.4
Crystal system: tetragonal
DFT formation energy, meV per atom: -15


[8]
## NdTmMg2Ag4 (GGA-PBE)

Data for a relaxed NdTmMg2Ag4 crystal.

Unit cell a=8.622 b=8.622 c=8.622 alpha=33.62 beta=33.62 gamma=33.62
Fractional coordinates of all 8 atoms:
Nd 0.000 0.000 0.000
Tm 0.500 0.500 0.500
Mg 0.249 0.249 0.249
Mg 0.751 0.751 0.751
Ag 0.129 0.129 0.129
Ag 0.379 0.379 0.379
Ag 0.621 0.621 0.621
Ag 0.871 0.871 0.871

Results
VASP energy, eV/atom: -3.264
ρ, Mg/m³: 7.5
Crystal system: trigonal
DFT formation energy, meV per atom: -285


[9]
## MgZrSn (GGA-PBE)

Data for a relaxed MgZrSn crystal.

Unit cell a=4.145 b=4.145 c=7.824 alpha=90.00 beta=90.00 gamma=90.00
Fractional coordinates of all 6 atoms:
Mg 0.250 0.750 0.000
Mg 0.750 0.250 0.000
Zr 0.250 0.250 0.353
Zr 0.750 0.750 0.647
Sn 0.250 0.250 0.726
Sn 0.750 0.750 0.274

Results
VASP energy, eV/atom: -5.029
ρ, Mg/m³: 5.8
Crystal system: tetragonal
DFT formation energy, meV per atom: -314


[10]
## Nb2PH (GGA-PBE)

Data for a relaxed Nb2PH crystal.

Unit cell a=4.501 b=4.501 c=5.762 alpha=90.00 beta=90.00 gamma=89.00
Fractional coordinates of all 8 atoms:
Nb 0.115 0.344 0.000
Nb 0.344 0.115 0.500
Nb 0.656 0.885 0.000
Nb 0.885 0.656 0.500
P 0.387 0.613 0.688
P 0.613 0.387 0.188
H 0.060 0.940 0.942
H 0.940 0.060 0.442

Results
VASP energy, eV/atom: -7.437
ρ, Mg/m³: 6.2
Crystal system: orthorhombic


[11]
## Li2ErGa2 (GGA-PBE)

Data for a relaxed Li2ErGa2 crystal.

Unit cell a=12.880 b=12.880 c=12.880 alpha=164.51 beta=160.05 gamma=25.35
Fractional coordinates of all 10 atoms:
Li 0.044 0.294 0.750
Li 0.442 0.192 0.250
Li 0.558 0.808 0.750
Li 0.956 0.706 0.250
Er 0.327 0.577 0.750
Er 0.673 0.423 0.250
Ga 0.122 0.872 0.250
Ga 0.224 0.974 0.250
Ga 0.776 0.026 0.750
Ga 0.878 0.128 0.750

Results
VASP energy, eV/atom: -3.267
ρ, Mg/m³: 5.5
Crystal system: orthorhombic
DFT formation energy, meV per atom: -378


[12]
## HfV3Ge3 (GGA-PBE)

Data for a relaxed HfV3Ge3 crystal.

Unit cell a=7.641 b=7.641 c=7.641 alpha=48.95 beta=48.95 gamma=48.95
Fractional coordinates of all 14 atoms:
Hf 0.170 0.170 0.170
Hf 0.830 0.830 0.830
V 0.056 0.585 0.250
V 0.250 0.056 0.585
V 0.415 0.750 0.944
V 0.585 0.250 0.056
V 0.750 0.944 0.415
V 0.944 0.415 0.750
Ge 0.190 0.689 0.400
Ge 0.311 0.600 0.810
Ge 0.400 0.190 0.689
Ge 0.600 0.810 0.311
Ge 0.689 0.400 0.190
Ge 0.810 0.311 0.600

Results
VASP energy, eV/atom: -7.364
ρ, Mg/m³: 7.8
Crystal system: trigonal
DFT formation energy, meV per atom: -55


Question: Look up the VASP energy of the sixth one.
Answer: -6.383 eV/atom